Below is SmErP2 after structural relaxation, with properties calculated at the PBE-GGA level.

Computed properties:
Total DFT energy (no corrections)   -25.8 eV per formula unit
ΔE to the lowest computed polymorph   156 meV per atom
DFT formation energy   -5.72 eV/f.u.
Magnetic moment   0.000 μB per cell
Crystal system   trigonal

Unit cell a=3.9925 b=3.9925 c=20.6322 alpha=90.00 beta=90.00 gamma=120.00
Space group R3m (No. 160, hexagonal axes)
Inequivalent atoms, fractional coordinates:
1 Sm 0.0000 0.0000 0.0000 x3
2 Er 0.0000 0.0000 0.1714 x3
3 P 0.0000 0.0000 0.5822 x3
4 P 0.0000 0.0000 0.7563 x3